## Rb3SbTe (PBE-GGA)

Data for an optimized crystal structure of Rb3SbTe.

## Properties
- ΔE_f (raw): -1.56 eV/f.u.
- ΔE to the lowest computed polymorph: 328.4 meV per atom
- SG: No. 221

Cell and atoms, written as POSCAR:
```
Rb3SbTe
1.0
-4.569 1.983 -4.806
0.331 -6.274 -2.904
-5.189 -2.146 4.046
Sb Te Rb
1 1 3
Cartesian
-4.713 -3.219 -1.832
0.000 0.000 0.000
0.165 -3.137 -1.452
-2.595 -1.073 2.023
-2.284 0.992 -2.403
```